(1)
Computed, not measured: TcAsPb3 after structural relaxation at the PBE level of DFT.

Properties
- Size of the total moment: 3.6 μB/f.u.
- Relative energy among the computed polymorphs: 0.674 eV per atom

Cell lengths 5.5338, 5.5338, 5.5338 Å; angles 90.00, 90.00, 90.00 degrees
Last column: nearest neighbours and their distance in Å.
Sites, in units of the cell vectors:
Pb 0.0000 0.0000 0.5000  2 As 2.77
Pb 0.5000 0.0000 0.0000  2 As 2.77
Tc 0.5000 0.5000 0.5000  12 Pb 3.91
As 0.0000 0.0000 0.0000  6 Pb 2.77
Pb 0.0000 0.5000 0.0000  2 As 2.77

(2)
Computed, not measured: Tb3Nd4Au4 after structural relaxation at the PBE level of DFT.

Properties
- Size of the total moment: 0.0 μB/f.u.

Cell lengths 3.8131, 9.3170, 10.0896 Å; angles 117.50, 100.89, 90.00 degrees
Last column: nearest neighbours and their distance in Å.
Sites, in units of the cell vectors:
Tb 0.1014 0.1014 0.2028  6 Au 3.08-3.09
Nd 0.6608 0.4756 0.3216  4 Au 3.09-3.24, 1 Nd 3.45
Au 0.2605 0.7605 0.5209  2 Tb 3.08, 6 Nd 3.11-3.24
Tb 0.0000 0.5000 0.0000  4 Au 3.55, 8 Nd 3.81, 2 Tb 3.81
Nd 0.3392 0.5244 0.6784  4 Au 3.09-3.24, 1 Nd 3.45
Nd 0.3392 0.1540 0.6784  4 Au 3.09-3.24, 1 Nd 3.45
Au 0.5000 0.1784 0.0000  2 Nd 3.09, 4 Tb 3.09, 1 Au 3.32
Tb 0.8986 0.8986 0.7972  6 Au 3.08-3.09
Nd 0.6608 0.8460 0.3216  4 Au 3.09-3.24, 1 Nd 3.45
Au 0.5000 0.8216 0.0000  2 Nd 3.09, 4 Tb 3.09, 1 Au 3.32
Au 0.7395 0.2395 0.4791  2 Tb 3.08, 6 Nd 3.11-3.24

(3)
Computed, not measured: HoPb2Au after structural relaxation at the PBE level of DFT.

Properties
- Size of the total moment: 0.0 μB/f.u.
- Relative energy among the computed polymorphs: 0.000 eV per atom

Cell lengths 4.5568, 4.7195, 4.7195 Å; angles 90.00, 90.00, 90.00 degrees
Last column: nearest neighbours and their distance in Å.
Sites, in units of the cell vectors:
Pb 0.0000 0.0000 0.5000  4 Ho 3.28, 4 Au 3.28, 4 Pb 3.34
Pb 0.0000 0.5000 0.0000  4 Ho 3.28, 4 Au 3.28, 4 Pb 3.34
Au 0.5000 0.5000 0.5000  8 Pb 3.28, 4 Ho 3.34
Ho 0.5000 0.0000 0.0000  8 Pb 3.28, 4 Au 3.34

Energy of formation: 6.15 -5.66 -1.47 (eV/f.u.)
Theoretical density: 7.79 9.84 12.70 (Mg/m³)